20
Lattice="5.1860 0.0000 0.0000 -1.2418 6.8676 0.0000 -0.0689 -2.1670 7.5052" Properties=species:S:1:pos:R:3 comment="Tc3BW, relaxed, DFT PBE-GGA" de_polymorph_mev_per_atom=0 crystal_system=triclinic spacegroup="P-1 (2)" magmom_total_mub_per_cell=0.00 formation_enthalpy_0k_mev_per_atom=-37 pbc="T T T"
Tc -1.2401 6.1533 2.4675
Tc -0.1708 1.1820 0.3470
Tc 1.2079 0.7556 6.3806
Tc 1.2557 1.8433 2.5222
Tc 1.4885 4.6125 3.3933
Tc 1.3145 6.4852 1.2753
Tc 2.5608 -1.7845 6.2299
Tc 2.3868 0.0882 4.1119
Tc 2.6195 2.8573 4.9830
Tc 2.6673 3.9451 1.1245
Tc 4.0460 3.5187 7.1582
Tc 5.1153 -1.4527 5.0377
B 0.2029 0.7213 4.2867
B 1.2329 2.9150 6.9837
B 2.6424 1.7857 0.5214
B 3.6723 3.9794 3.2185
W 0.0640 3.9650 1.2819
W 0.0343 2.9876 4.8449
W 3.8410 1.7131 2.6602
W 3.8113 0.7357 6.2233